#a
TeRh5 (GGA-PBE, optimized geometry); SG = No. 65; M_tot = 0.00 μB/f.u.
1.0
1.984 -5.816 0.000
1.984 5.816 0.000
0.000 0.000 3.949
Te Rh
1 5
direct
0.000 0.000 0.000 Te
0.170 0.830 0.500 Rh
0.334 0.666 0.000 Rh
0.500 0.500 0.500 Rh
0.666 0.334 0.000 Rh
0.830 0.170 0.500 Rh

=====

#b
TeRh5 (GGA-PBE, optimized geometry); SG = No. 8; M_tot = 0.00 μB/f.u.
1.0
5.043 -1.447 0.000
5.043 1.447 0.000
-1.791 0.000 6.366
Te Rh
1 5
direct
0.000 0.000 0.000 Te
0.281 0.281 0.055 Rh
0.337 0.337 0.660 Rh
0.618 0.618 0.715 Rh
0.668 0.668 0.333 Rh
0.950 0.950 0.401 Rh

=====

#c
TeRh5 (GGA-PBE, optimized geometry); SG = No. 189; M_tot = 0.00 μB/f.u.
1.0
4.846 0.000 0.000
-2.423 4.197 0.000
0.000 0.000 4.505
Te Rh
1 5
direct
0.000 0.000 0.000 Te
0.000 0.651 0.500 Rh
0.333 0.667 0.000 Rh
0.349 0.349 0.500 Rh
0.651 0.000 0.500 Rh
0.667 0.333 0.000 Rh

=====

Which of them is the most stable? Correct choice: #a.

=====

#a
TeRh5 (GGA-PBE, optimized geometry); SG = No. 38; M_tot = 0.00 μB/f.u.
1.0
4.461 0.000 0.000
0.000 1.458 7.118
0.000 -1.458 7.118
Te Rh
1 5
direct
0.000 0.000 0.000 Te
0.000 0.329 0.329 Rh
0.000 0.668 0.668 Rh
0.500 0.120 0.120 Rh
0.500 0.445 0.445 Rh
0.500 0.782 0.782 Rh

=====

#b
TeRh5 (GGA-PBE, optimized geometry); SG = No. 123; M_tot = 0.00 μB/f.u.
1.0
2.909 0.000 0.000
0.000 2.909 0.000
0.000 0.000 11.086
Te Rh
1 5
direct
0.000 0.000 0.000 Te
0.000 0.000 0.340 Rh
0.000 0.000 0.660 Rh
0.500 0.500 0.173 Rh
0.500 0.500 0.500 Rh
0.500 0.500 0.827 Rh

=====

Which of them is the most stable? Correct choice: #a.